## A
Here is a geometry-optimized KTa2Cr structure from Alexandria. Energies are from PBE.

Summary:
Space group: Cm (8)
Size of the total moment: 2.24 Bohr magnetons per cell

Cell and atoms, written as POSCAR:
```
KTa2Cr
1.0
4.5159 -1.4600 0.0000
4.5159 1.4600 0.0000
-0.3980 0.0000 7.6501
K Ta Cr
1 2 1
Direct
0.0000 0.0000 0.0000
0.2320 0.2320 0.6409
0.4968 0.4968 0.4798
0.7599 0.7599 0.3478
```

***

## B
Here is a geometry-optimized KTa2Cr structure from Alexandria. Energies are from PBE.

Summary:
Space group: P4/mmm (123)
Size of the total moment: 2.36 Bohr magnetons per cell

Cell and atoms, written as POSCAR:
```
KTa2Cr
1.0
4.0287 0.0000 0.0000
0.0000 4.0287 0.0000
0.0000 0.0000 5.1792
K Ta Cr
1 2 1
Direct
0.0000 0.0000 0.0000
0.0000 0.5000 0.5000
0.5000 0.0000 0.5000
0.5000 0.5000 0.0000
```

***

A ends up most stable, edging out the next structure by 556 meV/atom.

***

## A
Here is a geometry-optimized KTa2Cr structure from Alexandria. Energies are from PBE.

Summary:
Space group: P2/m (10)
Size of the total moment: 0.00 Bohr magnetons per cell

Cell and atoms, written as POSCAR:
```
KTa2Cr
1.0
2.8657 0.0000 0.0000
0.0000 3.9622 0.0000
-1.1186 0.0000 8.4417
K Ta Cr
1 2 1
Direct
0.0000 0.0000 0.0000
0.2173 0.5000 0.6440
0.7827 0.5000 0.3560
0.5000 0.0000 0.5000
```

***

## B
Here is a geometry-optimized KTa2Cr structure from Alexandria. Energies are from PBE.

Summary:
Space group: C2/m (12)
Size of the total moment: 0.00 Bohr magnetons per cell

Cell and atoms, written as POSCAR:
```
KTa2Cr
1.0
3.7779 -1.4712 0.0000
3.7779 1.4712 0.0000
-0.5093 0.0000 8.7807
K Ta Cr
1 2 1
Direct
0.0000 0.0000 0.0000
0.2245 0.2245 0.6440
0.7755 0.7755 0.3560
0.5000 0.5000 0.5000
```

***

## C
Here is a geometry-optimized KTa2Cr structure from Alexandria. Energies are from PBE.

Summary:
Space group: Pmmm (47)
Size of the total moment: 3.58 Bohr magnetons per cell

Cell and atoms, written as POSCAR:
```
KTa2Cr
1.0
2.9663 0.0000 0.0000
0.0000 5.0342 0.0000
0.0000 0.0000 5.6437
K Ta Cr
1 2 1
Direct
0.0000 0.0000 0.0000
0.0000 0.5000 0.5000
0.5000 0.0000 0.5000
0.5000 0.5000 0.0000
```

***

A ends up most stable, edging out the next structure by 36 meV/atom.

***

## A
Here is a geometry-optimized KTa2Cr structure from Alexandria. Energies are from PBE.

Summary:
Space group: Immm (71)
Size of the total moment: 1.44 Bohr magnetons per cell

Cell and atoms, written as POSCAR:
```
KTa2Cr
1.0
-1.4059 2.7802 5.3987
1.4059 -2.7802 5.3987
1.4059 2.7802 -5.3987
K Ta Cr
1 2 1
Direct
0.0000 0.0000 0.0000
0.2979 0.7979 0.5000
0.7021 0.2021 0.5000
0.5000 0.5000 0.0000
```

***

## B
Here is a geometry-optimized KTa2Cr structure from Alexandria. Energies are from PBE.

Summary:
Space group: Cmm2 (35)
Size of the total moment: 0.00 Bohr magnetons per cell

Cell and atoms, written as POSCAR:
```
KTa2Cr
1.0
1.5937 -2.4133 0.0000
1.5937 2.4133 0.0000
0.0000 0.0000 10.5820
K Ta Cr
1 2 1
Direct
0.0000 0.0000 0.0000
0.0000 0.0000 0.4624
0.5000 0.5000 0.6863
0.5000 0.5000 0.2829
```

***

## C
Here is a geometry-optimized KTa2Cr structure from Alexandria. Energies are from PBE.

Summary:
Space group: Cmmm (65)
Size of the total moment: 0.00 Bohr magnetons per cell

Cell and atoms, written as POSCAR:
```
KTa2Cr
1.0
1.5883 -2.4453 0.0000
1.5883 2.4453 0.0000
0.0000 0.0000 10.5261
K Ta Cr
1 2 1
Direct
0.0000 0.0000 0.0000
0.5000 0.5000 0.3142
0.5000 0.5000 0.6858
0.0000 0.0000 0.5000
```

***

## D
Here is a geometry-optimized KTa2Cr structure from Alexandria. Energies are from PBE.

Summary:
Space group: P4/mmm (123)
Size of the total moment: 1.12 Bohr magnetons per cell

Cell and atoms, written as POSCAR:
```
KTa2Cr
1.0
4.6733 0.0000 0.0000
0.0000 4.6733 0.0000
0.0000 0.0000 3.4200
K Ta Cr
1 2 1
Direct
0.0000 0.0000 0.0000
0.0000 0.5000 0.5000
0.5000 0.0000 0.5000
0.5000 0.5000 0.0000
```

***

C ends up most stable, edging out the next structure by 94 meV/atom.

***

## A
Here is a geometry-optimized KTa2Cr structure from Alexandria. Energies are from PBE.

Summary:
Space group: I4_1/amd (141)
Size of the total moment: 0.00 Bohr magnetons per cell

Cell and atoms, written as POSCAR:
```
KTa2Cr
1.0
-2.9359 2.9359 7.1353
2.9359 -2.9359 7.1353
2.9359 2.9359 -7.1353
K Ta Cr
2 4 2
Direct
0.3750 0.6250 0.7500
0.6250 0.3750 0.2500
0.0000 0.0000 0.0000
0.0000 0.0000 0.5000
0.0000 0.5000 0.0000
0.5000 0.0000 0.5000
0.1250 0.8750 0.2500
0.8750 0.1250 0.7500
```

***

## B
Here is a geometry-optimized KTa2Cr structure from Alexandria. Energies are from PBE.

Summary:
Space group: I-4m2 (119)
Size of the total moment: 2.39 Bohr magnetons per cell

Cell and atoms, written as POSCAR:
```
KTa2Cr
1.0
-2.4336 2.4336 3.4266
2.4336 -2.4336 3.4266
2.4336 2.4336 -3.4266
K Ta Cr
1 2 1
Direct
0.0000 0.0000 0.0000
0.2500 0.7500 0.5000
0.5000 0.5000 0.0000
0.7500 0.2500 0.5000
```

***

## C
Here is a geometry-optimized KTa2Cr structure from Alexandria. Energies are from PBE.

Summary:
Space group: Pm (6)
Size of the total moment: 0.42 Bohr magnetons per cell

Cell and atoms, written as POSCAR:
```
KTa2Cr
1.0
2.9288 0.0000 0.0000
0.0000 4.2908 0.0000
-1.3702 0.0000 7.8112
K Ta Cr
1 2 1
Direct
0.0000 0.0000 0.0000
0.1674 0.0000 0.5337
0.6666 0.5000 0.3678
0.5753 0.5000 0.6504
```

***

## D
Here is a geometry-optimized KTa2Cr structure from Alexandria. Energies are from PBE.

Summary:
Space group: P4/mmm (123)
Size of the total moment: 0.00 Bohr magnetons per cell

Cell and atoms, written as POSCAR:
```
KTa2Cr
1.0
3.0430 0.0000 0.0000
0.0000 3.0430 0.0000
0.0000 0.0000 9.7525
K Ta Cr
1 2 1
Direct
0.0000 0.0000 0.0000
0.5000 0.5000 0.3468
0.5000 0.5000 0.6532
0.0000 0.0000 0.5000
```

***

D ends up most stable, edging out the next structure by 147 meV/atom.